An optimized crystal structure of Co2Ru2F, computed with PBE+U.

The structure in POSCAR format:
```
Co2Ru2F
1.0
7.2535 0.0000 -1.5229
0.0000 2.7067 0.0000
-7.1205 0.0000 8.2068
Ru F Co
4 2 4
Direct
0.3519 0.0000 0.3587
0.9339 0.5000 0.2438
0.9339 0.0000 0.7438
0.3519 0.5000 0.8587
0.6000 0.5000 0.2076
0.6000 0.0000 0.7076
0.7941 0.5000 0.4781
0.1897 0.0000 0.5768
0.7941 0.0000 0.9781
0.1897 0.5000 0.0768
```

Output
For the density of states at the Fermi level, the calculation gives 6.36 states/eV per cell. The energy above the most stable polymorph in this dataset comes out at 0.1046 eV/atom. As for the crystal system: monoclinic.